UTe2I | PBE | optimized geometry

Lattice parameters (Å, degrees): 4.1386 4.1386 31.0526 90.00 90.00 120.00
Last column: nearest neighbours and their distance in Å.
Space group R-3m (No. 166, hexagonal axes)
One atom of each set of equivalent atoms:
U: 0.0000 0.0000 0.0000  6 Te 3.02
Te: 0.0000 0.0000 0.2737  3 U 3.02
I: 0.0000 0.0000 0.5000  6 Te 4.09, 6 I 4.14

Output
* crystal system: trigonal
* DOS(E_F): 25.9 states/eV per cell
* mass density: 6.71 Mg/m³
* polymorph energy (0 for the lowest one): 0.125 eV/atom
* formation energy (no corrections): -0.28 eV/atom
* V: 461 Å³ per cell

---

UTe2I | PBE | optimized geometry

Lattice parameters (Å, degrees): 7.6173 4.3829 9.8475 90.00 103.76 90.00
Last column: nearest neighbours and their distance in Å.
Space group C2/m (No. 12)
One atom of each set of equivalent atoms:
U: 0.0000 0.0000 0.0000  6 Te 3.07-3.08
Te: 0.1117 0.5000 0.8173  1 I 3.04, 3 U 3.07-3.08
I: 0.0000 0.5000 0.5000  2 Te 3.04

Output
* crystal system: monoclinic
* DOS(E_F): 14.1 states/eV per cell
* mass density: 6.45 Mg/m³
* polymorph energy (0 for the lowest one): 0.068 eV/atom
* formation energy (no corrections): -0.34 eV/atom
* V: 319 Å³ per cell

---

UTeI2 | PBE | optimized geometry

Lattice parameters (Å, degrees): 4.6406 4.0039 9.1635 90.00 104.49 90.00
Last column: nearest neighbours and their distance in Å.
Space group Pm (No. 6)
One atom of each set of equivalent atoms:
U: 0.0000 0.0000 0.0000  3 I 2.94-3.16, 4 Te 3.11
Te: 0.5292 0.5000 0.0590  4 U 3.11
I: 0.1639 0.0000 0.3315  1 U 2.94
I: 0.8644 0.5000 0.7250  2 U 3.16

Output
* crystal system: monoclinic
* DOS(E_F): 5.2 states/eV per cell
* mass density: 6.24 Mg/m³
* polymorph energy (0 for the lowest one): 0.000 eV/atom
* formation energy (no corrections): -0.63 eV/atom
* V: 165 Å³ per cell

---

UTeI | PBE | optimized geometry

Lattice parameters (Å, degrees): 4.2543 13.8126 6.8596 90.00 90.00 90.00
Last column: nearest neighbours and their distance in Å.
Space group Cmcm (No. 63)
One atom of each set of equivalent atoms:
U: 0.0000 0.1333 0.2500  2 Te 3.05, 4 I 3.29
Te: 0.0000 0.2085 0.7500  2 U 3.05
I: 0.0000 0.5000 0.0000  4 U 3.29, 2 I 3.43

Output
* crystal system: orthorhombic
* DOS(E_F): 21.3 states/eV per cell
* mass density: 8.12 Mg/m³
* polymorph energy (0 for the lowest one): 0.247 eV/atom
* formation energy (no corrections): -0.44 eV/atom
* V: 403 Å³ per cell

---

U2TeI6 | PBE | optimized geometry

Lattice parameters (Å, degrees): 17.6460 3.8275 13.9722 90.00 121.25 90.00
Last column: nearest neighbours and their distance in Å.
Space group C2/m (No. 12)
One atom of each set of equivalent atoms:
U: 0.0479 0.0000 0.2058  6 I 3.16-3.20, 2 Te 3.18
Te: 0.0000 0.5000 0.0000  4 U 3.18, 4 I 3.52
I: 0.0952 0.5000 0.4097  2 U 3.16
I: 0.1170 0.5000 0.8590  2 U 3.20, 1 Te 3.52
I: 0.2081 0.5000 0.2503  2 U 3.20, 1 Te 3.52

Output
* crystal system: monoclinic
* DOS(E_F): 27.1 states/eV per cell
* mass density: 5.62 Mg/m³
* formation energy (no corrections): -0.64 eV/atom
* V: 807 Å³ per cell

---

UTeI | PBE | optimized geometry

Lattice parameters (Å, degrees): 3.7763 3.7763 14.4535 90.00 90.00 90.00
Last column: nearest neighbours and their distance in Å.
Space group I4mm (No. 107)
One atom of each set of equivalent atoms:
U: 0.0000 0.0000 0.0000  4 Te 3.16, 4 I 3.33
Te: 0.0000 0.0000 0.3837  4 U 3.16
I: 0.0000 0.0000 0.6374  4 U 3.33, 1 Te 3.67

Output
* crystal system: tetragonal
* DOS(E_F): 12.8 states/eV per cell
* mass density: 7.94 Mg/m³
* polymorph energy (0 for the lowest one): 0.085 eV/atom
* formation energy (no corrections): -0.60 eV/atom
* V: 206 Å³ per cell

---

V3Te4I2 | PBE | optimized geometry

Lattice parameters (Å, degrees): 3.6407 3.6407 22.7546 90.00 90.00 120.00
Last column: nearest neighbours and their distance in Å.
Space group P-6m2 (No. 187)
One atom of each set of equivalent atoms:
V: 0.0000 0.0000 0.0000  6 I 2.75
V: 0.3333 0.6667 0.3230  6 Te 2.73
Te: 0.0000 0.0000 0.2466  3 V 2.73
Te: 0.0000 0.0000 0.3994  3 V 2.73
I: 0.3333 0.6667 0.0778  3 V 2.75

Output
* crystal system: hexagonal
* DOS(E_F): 5.2 states/eV per cell
* mass density: 5.83 Mg/m³
* formation energy (no corrections): -0.23 eV/atom
* V: 261 Å³ per cell

---

VTeI | PBE | optimized geometry

Lattice parameters (Å, degrees): 3.9534 3.9534 6.8359 90.00 90.00 120.00
Last column: nearest neighbours and their distance in Å.
Space group P3m1 (No. 156)
One atom of each set of equivalent atoms:
V: 0.0000 0.0000 0.0000  3 Te 2.72, 3 I 2.86
Te: 0.3333 0.6667 0.7845  3 V 2.72
I: 0.6667 0.3333 0.2527  3 V 2.86

Output
* crystal system: trigonal
* DOS(E_F): 5.3 states/eV per cell
* mass density: 5.48 Mg/m³
* polymorph energy (0 for the lowest one): 0.084 eV/atom
* formation energy (no corrections): -0.31 eV/atom
* V: 93 Å³ per cell

---

| no. | magnetic moment (μB/cell) |
| --- | --- |
| 1 | 5.7 |
| 2 | 5.2 |
| 3 | 2.0 |
| 4 | 11.9 |
| 5 | 8.8 |
| 6 | 5.8 |
| 7 | 2.7 |
| 8 | 2.0 |